(1)
VASP calculation (PBE) on a geometry-optimized Er2TmHf structure.

Cell: 4.798 4.798 4.791 Å, 90.00 90.00 90.00°
Space group P4/mmm (No. 123)
Unique sites:
Er (0.000, 0.500, 0.000) x2
Tm (0.000, 0.000, 0.500) x1
Hf (0.500, 0.500, 0.500) x1

calculated formation energy	0.128	eV/atom
Fermi-level density of states	1.176	states/eV per atom
calculated volume	27.58	Å³/atom
uncorrected energy	-5.76	eV per atom
ρ	10.27	Mg/m³
relative energy among the computed polymorphs	33	meV/atom

(2)
VASP calculation (PBE) on a geometry-optimized Er2TmHf structure.

Cell: 3.3055 3.3055 35.6275 Å, 90.00 90.00 120.00°
Space group R-3m (No. 166, hexagonal axes)
Unique sites:
Er (0.0000, 0.0000, 0.0873) x6
Tm (0.0000, 0.0000, 0.5000) x3
Hf (0.0000, 0.0000, 0.0000) x3

calculated formation energy	0.346	eV/atom
Fermi-level density of states	1.703	states/eV per atom
calculated volume	28.09	Å³/atom
uncorrected energy	-5.54	eV per atom
ρ	10.08	Mg/m³
relative energy among the computed polymorphs	251	meV/atom

(3)
VASP calculation (PBE) on a geometry-optimized ErHf2V structure.

Cell: 3.1513 3.1513 31.6524 Å, 90.00 90.00 120.00°
Space group R-3m (No. 166, hexagonal axes)
Unique sites:
Er (0.0000, 0.0000, 0.0000) x3
Hf (0.0000, 0.0000, 0.0993) x6
V (0.0000, 0.0000, 0.5000) x3

calculated formation energy	0.411	eV/atom
Fermi-level density of states	1.376	states/eV per atom
calculated volume	22.69	Å³/atom
uncorrected energy	-7.99	eV per atom
ρ	10.53	Mg/m³
relative energy among the computed polymorphs	229	meV/atom

(4)
VASP calculation (PBE) on a geometry-optimized ErHfV4 structure.

Cell: 7.432 7.432 7.432 Å, 90.00 90.00 90.00°
Space group F-43m (No. 216)
Unique sites:
Er (0.000, 0.000, 0.000) x4
Hf (0.250, 0.250, 0.750) x4
V (0.125, 0.125, 0.375) x16

calculated formation energy	0.219	eV/atom
Fermi-level density of states	2.582	states/eV per atom
calculated volume	17.11	Å³/atom
uncorrected energy	-8.28	eV per atom
ρ	8.89	Mg/m³

(5)
VASP calculation (PBE) on a geometry-optimized ErHf2V structure.

Cell: 3.380 3.380 7.662 Å, 90.00 90.00 90.00°
Space group P4/mmm (No. 123)
Unique sites:
Er (0.000, 0.000, 0.000) x1
Hf (0.500, 0.500, 0.303) x2
V (0.000, 0.000, 0.500) x1

calculated formation energy	0.181	eV/atom
Fermi-level density of states	1.616	states/eV per atom
calculated volume	21.89	Å³/atom
uncorrected energy	-8.22	eV per atom
ρ	10.91	Mg/m³
relative energy among the computed polymorphs	0	meV/atom

(6)
VASP calculation (PBE) on a geometry-optimized ErHf2W structure.

Cell: 3.422 3.422 7.654 Å, 90.00 90.00 90.00°
Space group P4/mmm (No. 123)
Unique sites:
Er (0.000, 0.000, 0.000) x1
Hf (0.500, 0.500, 0.301) x2
W (0.000, 0.000, 0.500) x1

calculated formation energy	0.144	eV/atom
Fermi-level density of states	1.161	states/eV per atom
calculated volume	22.40	Å³/atom
uncorrected energy	-9.21	eV per atom
ρ	13.12	Mg/m³

(7)
VASP calculation (PBE) on a geometry-optimized YErHf structure.

Cell: 3.321 20.582 4.859 Å, 90.00 90.00 90.00°
Space group Cmcm (No. 63)
Unique sites:
Y (0.000, 0.051, 0.250) x4
Er (0.000, 0.365, 0.250) x4
Hf (0.000, 0.214, 0.250) x4

calculated formation energy	0.173	eV/atom
Fermi-level density of states	1.500	states/eV per atom
calculated volume	27.68	Å³/atom
uncorrected energy	-6.82	eV per atom
ρ	8.69	Mg/m³
relative energy among the computed polymorphs	56	meV/atom

(8)
VASP calculation (PBE) on a geometry-optimized YEr2Hf structure.

Cell: 4.825 4.825 4.827 Å, 90.00 90.00 90.00°
Space group P4/mmm (No. 123)
Unique sites:
Y (0.000, 0.000, 0.000) x1
Er (0.000, 0.500, 0.500) x2
Hf (0.500, 0.500, 0.000) x1

calculated formation energy	0.142	eV/atom
Fermi-level density of states	1.272	states/eV per atom
calculated volume	28.09	Å³/atom
uncorrected energy	-6.24	eV per atom
ρ	8.89	Mg/m³
relative energy among the computed polymorphs	39	meV/atom